# TlAgTeS2 | Alexandria | PBE | relaxed
data_TlAgTeS2
_space_group_name_H-M_alt 'P 1 2/c 1'
_space_group_IT_number 13
_cell_length_a 7.7482
_cell_length_b 4.7871
_cell_length_c 8.4080
_cell_angle_alpha 90.00
_cell_angle_beta 107.90
_cell_angle_gamma 90.00
loop_
_space_group_symop_operation_xyz
'x,y,z'
'-x,-y,-z'
'-x,y,-z+1/2'
'x,-y,z+1/2'
loop_
_atom_site_label
_atom_site_type_symbol
_atom_site_fract_x
_atom_site_fract_y
_atom_site_fract_z
Tl1 Tl 0.0000 0.2206 0.2500
Ag1 Ag 0.5000 0.0000 0.0000
Te1 Te 0.5000 0.3688 0.2500
S1 S 0.2290 0.2625 0.9815
# **Volume**: 29.7 Å³ per atom
# **DOS at the Fermi energy**: 0.87 states/eV/cell
# **Magnetization**: 0.00 μB/atom
# **Formation energy from raw total energies**: -0.010 eV/atom

***

# TlAg2TeS4 | Alexandria | PBE | relaxed
data_TlAg2TeS4
_space_group_name_H-M_alt 'C 1 2/c 1'
_space_group_IT_number 15
_cell_length_a 11.1313
_cell_length_b 11.0815
_cell_length_c 7.7457
_cell_angle_alpha 90.00
_cell_angle_beta 133.70
_cell_angle_gamma 90.00
loop_
_space_group_symop_operation_xyz
'x,y,z'
'-x,-y,-z'
'-x,y,-z+1/2'
'x,-y,z+1/2'
'x+1/2,y+1/2,z'
'-x+1/2,-y+1/2,-z'
'-x+1/2,y+1/2,-z+1/2'
'x+1/2,-y+1/2,z+1/2'
loop_
_atom_site_label
_atom_site_type_symbol
_atom_site_fract_x
_atom_site_fract_y
_atom_site_fract_z
Tl1 Tl 0.0000 0.0000 0.0000
Ag1 Ag 0.0000 0.5000 0.0000
Ag2 Ag 0.2500 0.2500 0.0000
Te1 Te 0.2500 0.2500 0.5000
S1 S 0.0246 0.2589 0.0212
S2 S 0.2392 0.4953 0.4882
# **Volume**: 21.6 Å³ per atom
# **DOS at the Fermi energy**: 9.31 states/eV/cell
# **Magnetization**: 0.00 μB/atom
# **Formation energy from raw total energies**: 0.007 eV/atom

***

# TlAgTeS3 | Alexandria | PBE | relaxed
data_TlAgTeS3
_space_group_name_H-M_alt 'C m c m'
_space_group_IT_number 63
_space_group_name_Hall '-C 2c 2'
_cell_length_a 3.9021
_cell_length_b 13.6616
_cell_length_c 10.9426
_cell_angle_alpha 90.00
_cell_angle_beta 90.00
_cell_angle_gamma 90.00
loop_
_atom_site_label
_atom_site_type_symbol
_atom_site_fract_x
_atom_site_fract_y
_atom_site_fract_z
Tl1 Tl 0.0000 0.1933 0.2500
Ag1 Ag 0.0000 0.1240 0.7500
Te1 Te 0.0000 0.5000 0.0000
S1 S 0.0000 0.1346 0.5238
S2 S 0.0000 0.4781 0.7500
# **Volume**: 24.3 Å³ per atom
# **DOS at the Fermi energy**: 7.43 states/eV/cell
# **Magnetization**: 0.00 μB/atom
# **Formation energy from raw total energies**: -0.074 eV/atom

***

# Tl4AgTe3S8 | Alexandria | PBE | relaxed
data_Tl4AgTe3S8
_space_group_name_H-M_alt 'C 1 2/m 1'
_space_group_IT_number 12
_cell_length_a 14.9015
_cell_length_b 7.8989
_cell_length_c 8.5521
_cell_angle_alpha 90.00
_cell_angle_beta 124.41
_cell_angle_gamma 90.00
loop_
_space_group_symop_operation_xyz
'x,y,z'
'-x,-y,-z'
'-x,y,-z'
'x,-y,z'
'x+1/2,y+1/2,z'
'-x+1/2,-y+1/2,-z'
'-x+1/2,y+1/2,-z'
'x+1/2,-y+1/2,z'
loop_
_atom_site_label
_atom_site_type_symbol
_atom_site_fract_x
_atom_site_fract_y
_atom_site_fract_z
Tl1 Tl 0.0000 0.0000 0.0000
Tl2 Tl 0.0000 0.5000 0.0000
Tl3 Tl 0.2500 0.2500 0.0000
Ag1 Ag 0.0000 0.0000 0.5000
Te1 Te 0.0000 0.5000 0.5000
Te2 Te 0.2500 0.2500 0.5000
S1 S 0.0233 0.2527 0.3124
S2 S 0.2445 0.0000 0.7120
S3 S 0.2453 0.0000 0.2838
# **Volume**: 26.0 Å³ per atom
# **DOS at the Fermi energy**: 7.37 states/eV/cell
# **Magnetization**: 0.00 μB/atom
# **Formation energy from raw total energies**: -0.083 eV/atom

***

# Tl3Ag2TeS6 | Alexandria | PBE | relaxed
data_Tl3Ag2TeS6
_space_group_name_H-M_alt 'C 1 2/m 1'
_space_group_IT_number 12
_cell_length_a 6.9203
_cell_length_b 12.0384
_cell_length_c 6.9428
_cell_angle_alpha 90.00
_cell_angle_beta 109.09
_cell_angle_gamma 90.00
loop_
_space_group_symop_operation_xyz
'x,y,z'
'-x,-y,-z'
'-x,y,-z'
'x,-y,z'
'x+1/2,y+1/2,z'
'-x+1/2,-y+1/2,-z'
'-x+1/2,y+1/2,-z'
'x+1/2,-y+1/2,z'
loop_
_atom_site_label
_atom_site_type_symbol
_atom_site_fract_x
_atom_site_fract_y
_atom_site_fract_z
Tl1 Tl 0.0000 0.0000 0.0000
Tl2 Tl 0.0000 0.3326 0.0000
Ag1 Ag 0.0000 0.1667 0.5000
Te1 Te 0.0000 0.5000 0.5000
S1 S 0.2411 0.3359 0.7172
S2 S 0.2457 0.0000 0.7253
# **Volume**: 22.8 Å³ per atom
# **DOS at the Fermi energy**: 9.56 states/eV/cell
# **Magnetization**: 0.00 μB/atom
# **Formation energy from raw total energies**: -0.082 eV/atom

***

# TmAgTeS | Alexandria | PBE | relaxed
data_TmAgTeS
_space_group_name_H-M_alt 'P 3 m 1'
_space_group_IT_number 156
_cell_length_a 4.5622
_cell_length_b 4.5622
_cell_length_c 6.2266
_cell_angle_alpha 90.00
_cell_angle_beta 90.00
_cell_angle_gamma 120.00
loop_
_space_group_symop_operation_xyz
'x,y,z'
'-y,x-y,z'
'-x+y,-x,z'
'-y,-x,z'
'-x+y,y,z'
'x,x-y,z'
loop_
_atom_site_label
_atom_site_type_symbol
_atom_site_fract_x
_atom_site_fract_y
_atom_site_fract_z
Tm1 Tm 0.0000 0.0000 0.0000
Ag1 Ag 0.3333 0.6667 0.3355
Te1 Te 0.0000 0.0000 0.4809
S1 S 0.3333 0.6667 0.9268
# **Volume**: 28.1 Å³ per atom
# **Magnetization**: 0.00 μB/atom
# **Formation energy from raw total energies**: -1.025 eV/atom